# 1
A relaxed structure of BaTiTl2S4. Source: Alexandria, functional PBE.

Output
DOS(E_F) in states/eV/atom: 0.0000
E_form (uncorrected) in eV per atom: -1.15
Calculated density in kg/m³: 4641
Calculated volume in Å³/cell: 516.8

a b c (Å): 6.291 9.683 8.484
angles (deg): 90.00 90.00 90.00
Positions (direct):
Ba 0.950 0.093 0.500
Ba 0.450 0.907 0.000
Ti 0.519 0.795 0.500
Ti 0.019 0.205 0.000
Tl 0.422 0.359 0.294
Tl 0.422 0.359 0.706
Tl 0.922 0.641 0.794
Tl 0.922 0.641 0.206
S 0.381 0.221 0.000
S 0.881 0.779 0.500
S 0.451 0.026 0.500
S 0.951 0.974 0.000
S 0.427 0.687 0.730
S 0.927 0.313 0.230
S 0.927 0.313 0.770
S 0.427 0.687 0.270

# 2
A relaxed structure of TbNdDy3. Source: Alexandria, functional PBE.

Output
DOS(E_F) in states/eV/atom: 1.3639
E in Ry/atom: -0.3398
Calculated density in kg/m³: 8145
Calculated volume in Å³/cell: 322.4

a b c (Å): 5.051 6.186 11.304
angles (deg): 90.11 90.00 114.10
Positions (direct):
Tb 0.150 0.300 0.950
Tb 0.850 0.700 0.050
Nd 0.349 0.699 0.551
Nd 0.651 0.301 0.449
Dy 0.749 0.497 0.753
Dy 0.251 0.503 0.247
Dy 0.450 0.900 0.852
Dy 0.550 0.100 0.148
Dy 0.951 0.903 0.347
Dy 0.049 0.097 0.653

# 3
A relaxed structure of LiMn2W. Source: Alexandria, functional PBE.

Output
DOS(E_F) in states/eV/atom: 0.6720
E in Ry/atom: -0.5876
Calculated density in kg/m³: 9889
Calculated volume in Å³/cell: 50.5

a b c (Å): 4.943 4.943 4.943
angles (deg): 146.47 130.15 61.42
Last column: magnetic moment on the atom in μB.
Positions (direct):
Li 0.239 0.739 0.500  -0.01
Mn 0.988 0.988 0.000  -0.45
Mn 0.764 0.264 0.500  1.76
W 0.509 0.509 0.000  -0.12

# 4
A relaxed structure of Cu2IrAu. Source: Alexandria, functional PBE.

Output
DOS(E_F) in states/eV/atom: 0.7683
E in Ry/atom: -0.3595
Calculated density in kg/m³: 14947
Calculated volume in Å³/cell: 57.4

a b c (Å): 2.670 3.870 5.549
angles (deg): 90.00 90.00 90.00
Positions (direct):
Au 0.500 0.500 0.763
Cu 0.000 0.000 0.010
Cu 0.500 0.500 0.252
Ir 0.000 0.000 0.475

# 5
A relaxed structure of Nd2Tl3HgTe6. Source: Alexandria, functional PBE.

Output
DOS(E_F) in states/eV/atom: 0.6046
E_form (uncorrected) in eV per atom: -0.69
Calculated density in kg/m³: 7289
Calculated volume in Å³/cell: 425.5

a b c (Å): 7.873 7.873 8.382
angles (deg): 99.32 99.32 120.04
Positions (direct):
Nd 0.336 0.664 0.000
Nd 0.664 0.336 0.000
Tl 0.176 0.824 0.500
Tl 0.824 0.176 0.500
Tl 0.500 0.500 0.500
Hg 0.000 0.000 0.000
Te 0.928 0.601 0.780
Te 0.743 0.743 0.235
Te 0.072 0.399 0.220
Te 0.601 0.928 0.780
Te 0.257 0.257 0.765
Te 0.399 0.072 0.220

# 6
A relaxed structure of K2PtC2O6. Source: Alexandria, functional PBE.

Output
E_form (uncorrected) in eV per atom: -1.39
Calculated density in kg/m³: 3925
Calculated volume in Å³/cell: 166.4

a b c (Å): 5.071 6.405 6.281
angles (deg): 114.95 90.00 113.32
Positions (direct):
K 0.696 0.393 0.212
K 0.304 0.607 0.788
Pt 0.500 0.000 0.500
C 0.003 0.007 0.731
C 0.997 0.993 0.269
O 0.887 0.775 0.682
O 0.146 0.855 0.236
O 0.291 0.145 0.764
O 0.854 0.145 0.764
O 0.709 0.855 0.236
O 0.113 0.225 0.318

# 7
A relaxed structure of Pu2IrO. Source: Alexandria, functional PBE.

Output
Energy relative to the lowest polymorph listed for this composition in eV per formula unit: 0.00
DOS(E_F) in states/eV/atom: 3.1750
E_form (uncorrected) in eV per atom: -1.11
Calculated density in kg/m³: 16652
Calculated volume in Å³/cell: 69.4

a b c (Å): 3.129 3.129 7.092
angles (deg): 90.00 90.00 90.00
Last column: magnetic moment on the atom in μB.
Positions (direct):
Ir 0.500 0.500 0.500  -0.19
O 0.500 0.500 0.000  -0.05
Pu 0.000 0.000 0.780  5.44
Pu 0.000 0.000 0.220  5.44

# 8
A relaxed structure of CsTeO3F. Source: Alexandria, functional PBE.

Output
DOS(E_F) in states/eV/atom: 0.4059
E_form (uncorrected) in eV per atom: -1.23
Calculated density in kg/m³: 3791
Calculated volume in Å³/cell: 286.9

a b c (Å): 5.497 5.767 9.499
angles (deg): 72.33 89.64 88.82
Last column: magnetic moment on the atom in μB.
Positions (direct):
Cs 0.250 0.251 0.498  0.01
Cs 0.750 0.749 0.502  0.01
Te 0.750 0.038 0.924  0.00
Te 0.250 0.962 0.076  0.00
O 0.463 0.807 0.965  0.00
O 0.037 0.228 0.965  0.00
O 0.750 0.138 0.724  0.00
O 0.537 0.193 0.035  0.00
O 0.963 0.772 0.035  0.00
O 0.250 0.862 0.276  0.00
F 0.250 0.707 0.587  0.08
F 0.750 0.293 0.413  0.08